(1)
Re2HgPd: optimized geometry, PBE.

Unit cell a=6.0365 b=6.0365 c=10.5840 alpha=90.00 beta=90.00 gamma=90.00
Space group I-42d (No. 122)
Inequivalent atoms, fractional coordinates:
Re (0.2216, 0.2500, 0.1250)
Hg (0.0000, 0.0000, 0.5000)
Pd (0.0000, 0.0000, 0.0000)

Formation enthalpy at 0 K: 2278 meV/atom
E_tot: -5.32 eV per atom

(2)
Si2AsCl: optimized geometry, PBE.

Unit cell a=3.0671 b=4.6140 c=10.5678 alpha=90.00 beta=90.00 gamma=90.00
Space group Immm (No. 71)
Inequivalent atoms, fractional coordinates:
Si (0.0000, 0.0000, 0.2141)
As (0.0000, 0.5000, 0.5000)
Cl (0.0000, 0.5000, 0.0000)

Formation energy without anion corrections: 493 meV per atom
E_tot: -3.84 eV per atom

(3)
PrEuTl: optimized geometry, PBE.

Unit cell a=7.6990 b=7.6990 c=7.6990 alpha=90.00 beta=90.00 gamma=90.00
Space group F-43m (No. 216)
Inequivalent atoms, fractional coordinates:
Pr (0.0000, 0.0000, 0.0000)
Eu (0.0000, 0.0000, 0.5000)
Tl (0.2500, 0.2500, 0.7500)

Formation enthalpy at 0 K: -104 meV/atom
E_tot: -5.91 eV per atom

(4)
La2TeW: optimized geometry, PBE.

Unit cell a=3.6618 b=5.0532 c=11.9610 alpha=90.00 beta=90.00 gamma=90.00
Space group Imm2 (No. 44)
Inequivalent atoms, fractional coordinates:
La (0.0000, 0.0000, 0.0000)
La (0.0000, 0.5000, 0.2191)
Te (0.0000, 0.5000, 0.8098)
W (0.0000, 0.0000, 0.4876)

Formation energy without anion corrections: -70 meV per atom
E_tot: -6.56 eV per atom

(5)
Pr2Sm6Ga: optimized geometry, PBE.

Unit cell a=17.5445 b=9.5435 c=3.5945 alpha=90.00 beta=91.12 gamma=90.00
Space group C2/m (No. 12)
Inequivalent atoms, fractional coordinates:
Pr (0.1727, 0.0000, 0.4855)
Sm (0.0000, 0.2287, 0.5000)
Sm (0.1629, 0.3311, 0.9948)
Ga (0.0000, 0.5000, 0.0000)

Formation enthalpy at 0 K: 29 meV/atom
E_tot: -4.52 eV per atom

(6)
MnAg3: optimized geometry, PBE.

Unit cell a=2.9550 b=2.9550 c=27.6248 alpha=90.00 beta=90.00 gamma=120.00
Space group R-3m (No. 166, hexagonal axes)
Inequivalent atoms, fractional coordinates:
Mn (0.0000, 0.0000, 0.0000)
Ag (0.0000, 0.0000, 0.2530)
Ag (0.0000, 0.0000, 0.5000)

Formation enthalpy at 0 K: 213 meV/atom
E_tot: -4.22 eV per atom

(7)
NiSb5: optimized geometry, PBE.

Unit cell a=8.6742 b=8.6742 c=8.6742 alpha=90.00 beta=90.00 gamma=90.00
Space group F-43m (No. 216)
Inequivalent atoms, fractional coordinates:
Ni (0.0000, 0.0000, 0.0000)
Sb (0.1254, 0.1254, 0.3746)
Sb (0.2500, 0.2500, 0.7500)

Formation energy without anion corrections: 734 meV per atom
E_tot: -3.67 eV per atom

(8)
Mg2BH: optimized geometry, PBE.

Unit cell a=5.7670 b=5.7670 c=5.7670 alpha=90.00 beta=90.00 gamma=90.00
Space group Fm-3m (No. 225)
Inequivalent atoms, fractional coordinates:
Mg (0.2500, 0.2500, 0.2500)
B (0.0000, 0.0000, 0.0000)
H (0.0000, 0.0000, 0.5000)

E_tot: -2.75 eV per atom

Repeat the fifth record exactly.
Pr2Sm6Ga: optimized geometry, PBE.

Unit cell a=17.5445 b=9.5435 c=3.5945 alpha=90.00 beta=91.12 gamma=90.00
Space group C2/m (No. 12)
Inequivalent atoms, fractional coordinates:
Pr (0.1727, 0.0000, 0.4855)
Sm (0.0000, 0.2287, 0.5000)
Sm (0.1629, 0.3311, 0.9948)
Ga (0.0000, 0.5000, 0.0000)

Formation enthalpy at 0 K: 29 meV/atom
E_tot: -4.52 eV per atom